The following is a DFT calculation (PBE) of crystalline BeFeHg2 at its relaxed geometry.

Cell lengths 4.6410, 4.6410, 5.3406 Å; angles 103.37, 103.37, 37.00 degrees
Atoms (fractional coordinates):
Be: 0.0000 0.0000 0.0000
Fe: 0.5000 0.5000 0.5000
Hg: 0.2647 0.2647 0.7596
Hg: 0.7353 0.7353 0.2404

Properties
Crystal system ... monoclinic
Energy of formation ... 0.588 eV per atom

---

The following is a DFT calculation (PBE) of crystalline Ti2AlRh at its relaxed geometry.

Cell lengths 5.7367, 5.7367, 5.7367 Å; angles 101.84, 101.84, 126.13 degrees
Atoms (fractional coordinates):
Ti: 0.0880 0.1250 0.4630
Ti: 0.3750 0.9120 0.0370
Ti: 0.6620 0.6250 0.5370
Ti: 0.8750 0.3380 0.9630
Al: 0.2500 0.7500 0.5000
Al: 0.5000 0.5000 0.0000
Rh: 0.0000 0.0000 0.0000
Rh: 0.7500 0.2500 0.5000

Properties
Crystal system ... tetragonal
Energy of formation ... -0.153 eV per atom

---

The following is a DFT calculation (PBE) of crystalline ScTaBe at its relaxed geometry.

Cell lengths 5.9565, 5.9565, 5.9565 Å; angles 46.20, 46.20, 46.20 degrees
Atoms (fractional coordinates):
Sc: 0.1540 0.1540 0.1540
Sc: 0.8460 0.8460 0.8460
Ta: 0.3484 0.3484 0.3484
Ta: 0.6516 0.6516 0.6516
Be: 0.0000 0.0000 0.0000
Be: 0.5000 0.5000 0.5000

Properties
Crystal system ... trigonal
E above lowest polymorph ... 0.272 eV per atom
Energy of formation ... 0.356 eV per atom

---

The following is a DFT calculation (PBE) of crystalline AlRe3 at its relaxed geometry.

Cell lengths 4.5538, 5.5851, 4.6657 Å; angles 90.00, 90.00, 90.00 degrees
Atoms (fractional coordinates):
Al: 0.2500 0.2500 0.1726
Al: 0.7500 0.7500 0.8274
Re: 0.2500 0.5011 0.6711
Re: 0.2500 0.7500 0.1581
Re: 0.2500 0.9989 0.6711
Re: 0.7500 0.0011 0.3289
Re: 0.7500 0.2500 0.8419
Re: 0.7500 0.4989 0.3289

Properties
Crystal system ... orthorhombic
Energy of formation ... -0.022 eV per atom

---

The following is a DFT calculation (PBE) of crystalline Pa4Sb3Te at its relaxed geometry.

Cell lengths 7.4935, 7.4935, 4.4556 Å; angles 92.16, 92.16, 69.33 degrees
Atoms (fractional coordinates):
Pa: 0.2493 0.7507 0.0000
Pa: 0.2498 0.2498 0.4996
Pa: 0.7502 0.7502 0.5004
Pa: 0.7507 0.2493 0.0000
Sb: 0.0000 0.5000 0.0000
Sb: 0.5000 0.0000 0.0000
Sb: 0.5000 0.5000 0.5000
Te: 0.0000 0.0000 0.5000

Properties
Crystal system ... monoclinic
Energy relative to the elements, uncorrected ... -0.477 eV per atom

---

The following is a DFT calculation (PBE) of crystalline TbErO3 at its relaxed geometry.

Cell lengths 5.9283, 8.4281, 5.6674 Å; angles 90.00, 90.00, 90.00 degrees
Atoms (fractional coordinates):
Tb: 0.0530 0.2500 0.0211
Tb: 0.4470 0.7500 0.5211
Tb: 0.5530 0.2500 0.4789
Tb: 0.9470 0.7500 0.9789
Er: 0.0000 0.0000 0.5000
Er: 0.0000 0.5000 0.5000
Er: 0.5000 0.0000 0.0000
Er: 0.5000 0.5000 0.0000
O: 0.0776 0.7500 0.3512
O: 0.1904 0.5797 0.8128
O: 0.1904 0.9203 0.8128
O: 0.3096 0.0797 0.3128
O: 0.3096 0.4203 0.3128
O: 0.4224 0.2500 0.8512
O: 0.5776 0.7500 0.1488
O: 0.6904 0.5797 0.6872
O: 0.6904 0.9203 0.6872
O: 0.8096 0.0797 0.1872
O: 0.8096 0.4203 0.1872
O: 0.9224 0.2500 0.6488

Properties
Crystal system ... orthorhombic
Energy relative to the elements, uncorrected ... -3.515 eV per atom

---

The following is a DFT calculation (PBE) of crystalline Np3AsS3 at its relaxed geometry.

Cell lengths 5.5893, 5.5893, 5.5893 Å; angles 90.00, 90.00, 90.00 degrees
Atoms (fractional coordinates):
Np: 0.0000 0.0000 0.5000
Np: 0.0000 0.5000 0.0000
Np: 0.5000 0.0000 0.0000
As: 0.0000 0.0000 0.0000
S: 0.0000 0.5000 0.5000
S: 0.5000 0.0000 0.5000
S: 0.5000 0.5000 0.0000

Properties
Crystal system ... cubic
Energy relative to the elements, uncorrected ... -1.085 eV per atom

---

The following is a DFT calculation (PBE) of crystalline La6NiGe2I3 at its relaxed geometry.

Cell lengths 7.6373, 7.6373, 8.1254 Å; angles 99.34, 99.34, 119.20 degrees
Atoms (fractional coordinates):
La: 0.0646 0.3798 0.1960
La: 0.2596 0.2596 0.7884
La: 0.3798 0.0646 0.1960
La: 0.6202 0.9354 0.8040
La: 0.7404 0.7404 0.2116
La: 0.9354 0.6202 0.8040
Ni: 0.0000 0.0000 0.0000
Ge: 0.3345 0.6655 0.0000
Ge: 0.6655 0.3345 0.0000
I: 0.1768 0.8232 0.5000
I: 0.5000 0.5000 0.5000
I: 0.8232 0.1768 0.5000

Properties
Crystal system ... monoclinic
Energy relative to the elements, uncorrected ... -0.936 eV per atom

---

The following is a DFT calculation (PBE) of crystalline NdSnIr4 at its relaxed geometry.

Cell lengths 5.3852, 5.3852, 5.3852 Å; angles 60.00, 60.00, 60.00 degrees
Atoms (fractional coordinates):
Nd: 0.0000 0.0000 0.0000
Sn: 0.2500 0.2500 0.2500
Ir: 0.1269 0.6244 0.6244
Ir: 0.6244 0.1269 0.6244
Ir: 0.6244 0.6244 0.1269
Ir: 0.6244 0.6244 0.6244

Properties
Crystal system ... cubic
Energy of formation ... -0.294 eV per atom

---

The following is a DFT calculation (PBE) of crystalline Na2CeO3 at its relaxed geometry.

Cell lengths 4.5750, 4.5750, 4.7019 Å; angles 90.00, 90.00, 90.00 degrees
Atoms (fractional coordinates):
Na: 0.0000 0.5000 0.0000
Na: 0.5000 0.0000 0.0000
Ce: 0.0000 0.0000 0.5000
O: 0.0000 0.0000 0.0000
O: 0.0000 0.5000 0.5000
O: 0.5000 0.0000 0.5000

Properties
Crystal system ... tetragonal
Energy relative to the elements, uncorrected ... -2.315 eV per atom

---

The following is a DFT calculation (PBE) of crystalline Ho5Al2 at its relaxed geometry.

Cell lengths 8.3323, 8.3323, 9.0733 Å; angles 100.42, 100.42, 36.68 degrees
Atoms (fractional coordinates):
Ho: 0.0235 0.5185 0.6736
Ho: 0.1217 0.6240 0.0411
Ho: 0.2496 0.7504 0.7500
Ho: 0.3760 0.8783 0.4589
Ho: 0.4815 0.9765 0.8264
Ho: 0.5185 0.0235 0.1736
Ho: 0.6240 0.1217 0.5411
Ho: 0.7504 0.2496 0.2500
Ho: 0.8783 0.3760 0.9589
Ho: 0.9765 0.4815 0.3264
Al: 0.1745 0.6719 0.3914
Al: 0.3281 0.8255 0.1086
Al: 0.6719 0.1745 0.8914
Al: 0.8255 0.3281 0.6086

Properties
Crystal system ... monoclinic
E above lowest polymorph ... 0.000 eV per atom
Energy of formation ... -0.205 eV per atom

---

The following is a DFT calculation (PBE) of crystalline Er4Tm3Sc2 at its relaxed geometry.

Cell lengths 9.8187, 9.8187, 5.8217 Å; angles 95.70, 95.70, 69.68 degrees
Atoms (fractional coordinates):
Er: 0.0466 0.8235 0.9545
Er: 0.1728 0.3826 0.1067
Er: 0.1765 0.9534 0.5455
Er: 0.3826 0.1728 0.6067
Er: 0.6174 0.8272 0.3933
Er: 0.8235 0.0466 0.4545
Er: 0.8272 0.6174 0.8933
Er: 0.9534 0.1765 0.0455
Tm: 0.0145 0.3243 0.5780
Tm: 0.3243 0.0145 0.0780
Tm: 0.3552 0.6448 0.2500
Tm: 0.6448 0.3552 0.7500
Tm: 0.6757 0.9855 0.9220
Tm: 0.9855 0.6757 0.4220
Sc: 0.2887 0.5130 0.7053
Sc: 0.4870 0.7113 0.7947
Sc: 0.5130 0.2887 0.2053
Sc: 0.7113 0.4870 0.2947

Properties
Crystal system ... monoclinic
E above lowest polymorph ... 0.021 eV per atom
Energy of formation ... 0.108 eV per atom

---

The following is a DFT calculation (PBE) of crystalline RuAuSe2 at its relaxed geometry.

Cell lengths 7.9825, 7.9825, 7.9825 Å; angles 24.35, 24.35, 24.35 degrees
Atoms (fractional coordinates):
Ru: 0.0000 0.0000 0.0000
Au: 0.5000 0.5000 0.5000
Se: 0.2636 0.2636 0.2636
Se: 0.7364 0.7364 0.7364

Properties
Crystal system ... trigonal
Energy relative to the elements, uncorrected ... 0.096 eV per atom

---

The following is a DFT calculation (PBE) of crystalline Y3HfCu at its relaxed geometry.

Cell lengths 5.2779, 5.2779, 5.2779 Å; angles 90.00, 90.00, 90.00 degrees
Atoms (fractional coordinates):
Y: 0.0000 0.0000 0.5000
Y: 0.0000 0.5000 0.0000
Y: 0.5000 0.0000 0.0000
Hf: 0.5000 0.5000 0.5000
Cu: 0.0000 0.0000 0.0000

Properties
Crystal system ... cubic
E above lowest polymorph ... 0.000 eV per atom
Energy of formation ... 0.419 eV per atom

---

The following is a DFT calculation (PBE) of crystalline Th6SbC3S2 at its relaxed geometry.

Cell lengths 9.1464, 9.1464, 8.2716 Å; angles 107.51, 107.51, 24.62 degrees
Atoms (fractional coordinates):
Th: 0.0099 0.0099 0.2147
Th: 0.3203 0.3203 0.4396
Th: 0.3417 0.3417 0.8966
Th: 0.6583 0.6583 0.1034
Th: 0.6797 0.6797 0.5604
Th: 0.9901 0.9901 0.7853
Sb: 0.5000 0.5000 0.5000
C: 0.1669 0.1669 0.3237
C: 0.5000 0.5000 0.0000
C: 0.8331 0.8331 0.6763
S: 0.1686 0.1686 0.8338
S: 0.8314 0.8314 0.1662

Properties
Crystal system ... monoclinic
Energy relative to the elements, uncorrected ... -0.960 eV per atom

---

The following is a DFT calculation (PBE) of crystalline BaTl2As2 at its relaxed geometry.

Cell lengths 6.4082, 6.4082, 6.4082 Å; angles 130.01, 130.01, 73.39 degrees
Atoms (fractional coordinates):
Ba: 0.0000 0.0000 0.0000
Tl: 0.3556 0.3556 0.0000
Tl: 0.6444 0.6444 0.0000
As: 0.2500 0.7500 0.5000
As: 0.7500 0.2500 0.5000

Properties
Crystal system ... tetragonal
Energy of formation ... -0.307 eV per atom

---

The following is a DFT calculation (PBE) of crystalline InAu at its relaxed geometry.

Cell lengths 6.3649, 7.1054, 7.8442 Å; angles 90.00, 90.00, 90.00 degrees
Atoms (fractional coordinates):
In: 0.1327 0.0525 0.0826
In: 0.1445 0.3414 0.7549
In: 0.3555 0.6586 0.2549
In: 0.3673 0.9475 0.5826
In: 0.6327 0.4475 0.9174
In: 0.6445 0.1586 0.2451
In: 0.8555 0.8414 0.7451
In: 0.8673 0.5525 0.4174
Au: 0.0129 0.4330 0.0962
Au: 0.2465 0.2832 0.3949
Au: 0.2535 0.7168 0.8949
Au: 0.4871 0.5670 0.5962
Au: 0.5129 0.0670 0.9038
Au: 0.7465 0.2168 0.6051
Au: 0.7535 0.7832 0.1051
Au: 0.9871 0.9330 0.4038

Properties
Crystal system ... orthorhombic
Energy of formation ... -0.151 eV per atom

---

The following is a DFT calculation (PBE) of crystalline GaFeW3 at its relaxed geometry.

Cell lengths 4.5293, 4.5293, 4.5293 Å; angles 90.00, 90.00, 90.00 degrees
Atoms (fractional coordinates):
Ga: 0.0000 0.0000 0.0000
Fe: 0.5000 0.5000 0.5000
W: 0.0000 0.0000 0.5000
W: 0.0000 0.5000 0.0000
W: 0.5000 0.0000 0.0000

Properties
Crystal system ... cubic
Energy of formation ... 2.201 eV per atom

---

The following is a DFT calculation (PBE) of crystalline InCu14Ni at its relaxed geometry.

Cell lengths 8.4791, 5.2219, 5.2219 Å; angles 59.61, 90.00, 90.00 degrees
Atoms (fractional coordinates):
In: 0.0000 0.0000 0.0000
Cu: 0.0000 0.0024 0.4988
Cu: 0.0000 0.4988 0.0024
Cu: 0.2484 0.6642 0.6642
Cu: 0.2578 0.1695 0.6580
Cu: 0.2578 0.6580 0.1695
Cu: 0.2585 0.1691 0.1691
Cu: 0.5000 0.3313 0.3313
Cu: 0.5000 0.3330 0.8308
Cu: 0.5000 0.8300 0.8300
Cu: 0.5000 0.8308 0.3330
Cu: 0.7415 0.1691 0.1691
Cu: 0.7422 0.1695 0.6580
Cu: 0.7422 0.6580 0.1695
Cu: 0.7516 0.6642 0.6642
Ni: 0.0000 0.4989 0.4989

Properties
Crystal system ... orthorhombic
Energy of formation ... 0.018 eV per atom

---

The following is a DFT calculation (PBE) of crystalline TaNO2F at its relaxed geometry.

Cell lengths 3.9170, 3.9170, 4.1581 Å; angles 90.00, 90.00, 90.00 degrees
Atoms (fractional coordinates):
Ta: 0.0000 0.0000 0.0000
N: 0.5000 0.5000 0.5000
O: 0.0000 0.5000 0.0000
O: 0.5000 0.0000 0.0000
F: 0.0000 0.0000 0.5000

Properties
Crystal system ... tetragonal
Energy relative to the elements, uncorrected ... -1.193 eV per atom